Er3HfPa2N6, optimized geometry, DFT PBE; calculated density = 12.030 g/cm³; total magnetization = 0.00 μB/cell; E_form (uncorrected) = -20.5 eV/f.u.; symmetry = C2/m (12); DOS at the Fermi energy = 5.665 states/eV/f.u.
1.0
2.9578 -5.1258 0.0000
2.9578 5.1258 0.0000
-1.9553 0.0000 5.5828
Er Hf Pa N
3 1 2 6
direct
0.0000 0.0000 0.0000
0.3355 0.6645 0.0000
0.6645 0.3355 0.0000
0.5000 0.5000 0.5000
0.1663 0.8337 0.5000
0.8337 0.1663 0.5000
0.0939 0.4216 0.2637
0.2544 0.2544 0.7419
0.4216 0.0939 0.2637
0.5784 0.9061 0.7363
0.7456 0.7456 0.2581
0.9061 0.5784 0.7363